Version A
Crystalline KCa2Br at its relaxed geometry, computed with PBE.

Cell: 7.356 7.356 7.356 Å, 148.51 121.06 68.37°
Element x y z (fractional)
K (0.000, 0.000, 0.000)
Ca (0.398, 0.398, 0.000)
Ca (0.685, 0.185, 0.500)
Br (0.219, 0.719, 0.500)

Computed properties:
Space-group type: Imm2 (44)
Magnetization in μB/atom: 0.0000

=====

Version B
Crystalline KCa2Br at its relaxed geometry, computed with PBE.

Cell: 4.403 5.461 7.325 Å, 90.00 106.40 90.00°
Element x y z (fractional)
K (0.000, 0.000, 0.000)
Ca (0.382, 0.500, 0.713)
Ca (0.618, 0.500, 0.287)
Br (0.500, 0.000, 0.500)

Computed properties:
Space-group type: P2/m (10)
Magnetization in μB/atom: 0.0000

=====

Of them, the most stable is version A and the least stable is version B.

=====

Version A
Crystalline KCa2Br at its relaxed geometry, computed with PBE.

Cell: 6.321 6.321 6.321 Å, 60.00 60.00 60.00°
Element x y z (fractional)
K (0.000, 0.000, 0.000)
Ca (0.250, 0.250, 0.250)
Ca (0.500, 0.500, 0.500)
Br (0.750, 0.750, 0.750)

Computed properties:
Space-group type: F-43m (216)
Magnetization in μB/atom: 0.0000

=====

Version B
Crystalline KCa2Br at its relaxed geometry, computed with PBE.

Cell: 4.065 3.924 10.630 Å, 90.00 101.02 90.00°
Element x y z (fractional)
K (0.000, 0.000, 0.000)
Ca (0.297, 0.000, 0.592)
Ca (0.668, 0.500, 0.333)
Br (0.408, 0.500, 0.818)

Computed properties:
Space-group type: Pm (6)
Magnetization in μB/atom: 0.0001

=====

Of them, the most stable is version B and the least stable is version A.

=====

Version A
Crystalline KCa2Br at its relaxed geometry, computed with PBE.

Cell: 6.985 6.985 7.327 Å, 117.57 117.57 32.13°
Element x y z (fractional)
K (0.000, 0.000, 0.000)
Ca (0.159, 0.159, 0.630)
Ca (0.366, 0.366, 0.400)
Br (0.736, 0.736, 0.015)

Computed properties:
Space-group type: Cm (8)
Magnetization in μB/atom: 0.0000

=====

Version B
Crystalline KCa2Br at its relaxed geometry, computed with PBE.

Cell: 6.285 6.285 6.285 Å, 60.00 60.00 60.00°
Element x y z (fractional)
K (0.000, 0.000, 0.000)
Ca (0.250, 0.250, 0.250)
Ca (0.750, 0.750, 0.750)
Br (0.500, 0.500, 0.500)

Computed properties:
Space-group type: Fm-3m (225)
Magnetization in μB/atom: 0.0000

=====

Of them, the most stable is version A and the least stable is version B.

=====

Version A
Crystalline KCa2Br at its relaxed geometry, computed with PBE.

Cell: 3.857 3.857 10.534 Å, 90.00 90.00 90.00°
Element x y z (fractional)
K (0.000, 0.000, 0.000)
Ca (0.000, 0.000, 0.407)
Ca (0.500, 0.500, 0.673)
Br (0.500, 0.500, 0.219)

Computed properties:
Space-group type: P4mm (99)
Magnetization in μB/atom: 0.0000

=====

Version B
Crystalline KCa2Br at its relaxed geometry, computed with PBE.

Cell: 7.467 7.467 7.467 Å, 149.95 129.06 60.28°
Element x y z (fractional)
K (0.000, 0.000, 0.000)
Ca (0.301, 0.801, 0.500)
Ca (0.699, 0.199, 0.500)
Br (0.500, 0.500, 0.000)

Computed properties:
Space-group type: Immm (71)
Magnetization in μB/atom: 0.0000

=====

Of them, the most stable is version A and the least stable is version B.

=====

Version A
Crystalline KCa2Br at its relaxed geometry, computed with PBE.

Cell: 3.959 3.959 11.200 Å, 90.00 90.00 113.19°
Element x y z (fractional)
K (0.000, 0.000, 0.000)
Ca (0.000, 0.000, 0.412)
Ca (0.500, 0.500, 0.681)
Br (0.500, 0.500, 0.224)

Computed properties:
Space-group type: Cmm2 (35)
Magnetization in μB/atom: 0.0000

=====

Version B
Crystalline KCa2Br at its relaxed geometry, computed with PBE.

Cell: 11.841 11.841 11.841 Å, 19.51 19.51 19.51°
Element x y z (fractional)
K (0.000, 0.000, 0.000)
Ca (0.231, 0.231, 0.231)
Ca (0.769, 0.769, 0.769)
Br (0.500, 0.500, 0.500)

Computed properties:
Space-group type: R-3m (166)
Magnetization in μB/atom: 0.0000

=====

Of them, the most stable is version A and the least stable is version B.

=====

Version A
Crystalline KCa2Br at its relaxed geometry, computed with PBE.

Cell: 4.964 4.964 7.211 Å, 90.00 90.00 90.00°
Element x y z (fractional)
K (0.000, 0.000, 0.000)
Ca (0.000, 0.500, 0.500)
Ca (0.500, 0.000, 0.500)
Br (0.500, 0.500, 0.000)

Computed properties:
Space-group type: P4/mmm (123)
Magnetization in μB/atom: 0.0000

=====

Version B
Crystalline KCa2Br at its relaxed geometry, computed with PBE.

Cell: 7.589 7.589 4.037 Å, 105.36 105.36 121.07°
Element x y z (fractional)
K (0.000, 0.000, 0.000)
Ca (0.000, 0.500, 0.500)
Ca (0.500, 0.000, 0.500)
Br (0.500, 0.500, 0.000)

Computed properties:
Space-group type: C2/m (12)
Magnetization in μB/atom: 0.0000

=====

Version C
Crystalline KCa2Br at its relaxed geometry, computed with PBE.

Cell: 4.033 4.033 11.864 Å, 90.00 90.00 120.19°
Element x y z (fractional)
K (0.000, 0.000, 0.000)
Ca (0.500, 0.500, 0.302)
Ca (0.500, 0.500, 0.698)
Br (0.000, 0.000, 0.500)

Computed properties:
Space-group type: Cmmm (65)
Magnetization in μB/atom: 0.0000

=====

Version D
Crystalline KCa2Br at its relaxed geometry, computed with PBE.

Cell: 6.991 6.991 3.921 Å, 90.00 90.00 118.48°
Element x y z (fractional)
K (0.000, 0.000, 0.000)
Ca (0.000, 0.500, 0.500)
Ca (0.500, 0.000, 0.500)
Br (0.500, 0.500, 0.000)

Computed properties:
Space-group type: Cmmm (65)
Magnetization in μB/atom: 0.0000

=====

Of them, the most stable is version C and the least stable is version D.

=====

Version A
Crystalline KCa2Br at its relaxed geometry, computed with PBE.

Cell: 7.731 7.731 7.731 Å, 142.34 142.34 54.32°
Element x y z (fractional)
K (0.000, 0.000, 0.000)
Ca (0.250, 0.750, 0.500)
Ca (0.750, 0.250, 0.500)
Br (0.500, 0.500, 0.000)

Computed properties:
Space-group type: I4/mmm (139)
Magnetization in μB/atom: 0.0000

=====

Version B
Crystalline KCa2Br at its relaxed geometry, computed with PBE.

Cell: 10.613 10.613 10.613 Å, 139.79 139.79 58.17°
Element x y z (fractional)
K (0.000, 0.000, 0.000)
K (0.750, 0.250, 0.500)
Ca (0.373, 0.125, 0.748)
Ca (0.375, 0.627, 0.752)
Ca (0.377, 0.625, 0.252)
Ca (0.875, 0.623, 0.248)
Br (0.250, 0.750, 0.500)
Br (0.500, 0.500, 0.000)

Computed properties:
Space-group type: I-42d (122)
Magnetization in μB/atom: 0.0000

=====

Version C
Crystalline KCa2Br at its relaxed geometry, computed with PBE.

Cell: 3.782 3.782 11.226 Å, 90.00 90.00 90.00°
Element x y z (fractional)
K (0.000, 0.000, 0.000)
Ca (0.500, 0.500, 0.302)
Ca (0.500, 0.500, 0.698)
Br (0.000, 0.000, 0.500)

Computed properties:
Space-group type: P4/mmm (123)
Magnetization in μB/atom: 0.0000

=====

Version D
Crystalline KCa2Br at its relaxed geometry, computed with PBE.

Cell: 7.246 7.246 7.246 Å, 138.24 138.24 60.53°
Element x y z (fractional)
K (0.000, 0.000, 0.000)
Ca (0.500, 0.500, 0.000)
Ca (0.750, 0.250, 0.500)
Br (0.250, 0.750, 0.500)

Computed properties:
Space-group type: I-4m2 (119)
Magnetization in μB/atom: 0.0000

=====

Of them, the most stable is version C and the least stable is version D.

=====

Version A
Crystalline KCaSe2Br at its relaxed geometry, computed with PBE.

Cell: 5.619 5.619 5.792 Å, 90.00 90.00 90.00°
Element x y z (fractional)
K (0.000, 0.000, 0.000)
Ca (0.500, 0.500, 0.500)
Se (0.000, 0.500, 0.500)
Se (0.500, 0.000, 0.500)
Br (0.500, 0.500, 0.000)

Computed properties:
Space-group type: P4/mmm (123)
Magnetization in μB/atom: 0.3134

=====

Version B
Crystalline KCaSe2Br at its relaxed geometry, computed with PBE.

Cell: 5.519 5.519 5.794 Å, 90.00 90.00 90.00°
Element x y z (fractional)
K (0.000, 0.000, 0.000)
Ca (0.500, 0.500, 0.500)
Se (0.000, 0.500, 0.000)
Se (0.500, 0.000, 0.000)
Br (0.000, 0.000, 0.500)

Computed properties:
Space-group type: P4/mmm (123)
Magnetization in μB/atom: 0.0000

=====

Of them, the most stable is version A and the least stable is version B.

=====

Version A
Crystalline CaLaBr at its relaxed geometry, computed with PBE.

Cell: 8.465 8.106 3.761 Å, 82.28 71.60 26.12°
Element x y z (fractional)
Ca (0.000, 0.000, 0.000)
La (0.694, 0.694, 0.306)
Br (0.355, 0.355, 0.645)

Computed properties:
Space-group type: Fmm2 (42)
Magnetization in μB/atom: 0.0001

=====

Version B
Crystalline CaLaBr at its relaxed geometry, computed with PBE.

Cell: 3.883 3.883 7.711 Å, 90.00 90.00 120.00°
Element x y z (fractional)
Ca (0.000, 0.000, 0.000)
La (0.667, 0.333, 0.399)
Br (0.333, 0.667, 0.708)

Computed properties:
Space-group type: P3m1 (156)
Magnetization in μB/atom: 0.0020

=====

Version C
Crystalline CaLaBr at its relaxed geometry, computed with PBE.

Cell: 5.214 5.214 5.214 Å, 60.00 60.00 60.00°
Element x y z (fractional)
Ca (0.000, 0.000, 0.000)
La (0.500, 0.500, 0.500)
Br (0.750, 0.750, 0.750)

Computed properties:
Space-group type: F-43m (216)
Magnetization in μB/atom: 0.0996

=====

Version D
Crystalline CaLaBr at its relaxed geometry, computed with PBE.

Cell: 5.297 5.297 4.384 Å, 90.00 90.00 120.00°
Element x y z (fractional)
Ca (0.000, 0.000, 0.000)
La (0.667, 0.333, 0.517)
Br (0.333, 0.667, 0.638)

Computed properties:
Space-group type: P3m1 (156)
Magnetization in μB/atom: 0.0000

=====

Of them, the most stable is version B and the least stable is version C.

=====

Version A
Crystalline CaLa3Br at its relaxed geometry, computed with PBE.

Cell: 5.795 5.795 5.795 Å, 90.00 90.00 90.00°
Element x y z (fractional)
Ca (0.000, 0.000, 0.000)
La (0.000, 0.500, 0.500)
La (0.500, 0.000, 0.500)
La (0.500, 0.500, 0.000)
Br (0.500, 0.500, 0.500)

Computed properties:
Space-group type: Pm-3m (221)
Magnetization in μB/atom: 0.0000

=====

Version B
Crystalline CaLa3Br at its relaxed geometry, computed with PBE.

Cell: 5.978 5.978 5.978 Å, 90.00 90.00 90.00°
Element x y z (fractional)
Ca (0.000, 0.000, 0.000)
La (0.000, 0.000, 0.500)
La (0.000, 0.500, 0.000)
La (0.500, 0.000, 0.000)
Br (0.500, 0.500, 0.500)

Computed properties:
Space-group type: Pm-3m (221)
Magnetization in μB/atom: 0.0000

=====

Of them, the most stable is version A and the least stable is version B.

=====

Version A
Crystalline CaLaSeBr2 at its relaxed geometry, computed with PBE.

Cell: 5.387 5.387 5.628 Å, 90.00 90.00 90.00°
Element x y z (fractional)
Ca (0.000, 0.000, 0.000)
La (0.500, 0.500, 0.500)
Se (0.000, 0.000, 0.500)
Br (0.000, 0.500, 0.000)
Br (0.500, 0.000, 0.000)

Computed properties:
Space-group type: P4/mmm (123)
Magnetization in μB/atom: 0.1786

=====

Version B
Crystalline CaLaSeBr2 at its relaxed geometry, computed with PBE.

Cell: 5.859 5.859 5.759 Å, 90.00 90.00 90.00°
Element x y z (fractional)
Ca (0.000, 0.000, 0.000)
La (0.500, 0.500, 0.500)
Se (0.500, 0.500, 0.000)
Br (0.000, 0.500, 0.500)
Br (0.500, 0.000, 0.500)

Computed properties:
Space-group type: P4/mmm (123)
Magnetization in μB/atom: 0.0062

=====

Of them, the most stable is version B and the least stable is version A.